[1]
5
Lattice="5.813 0.000 0.000 0.000 4.793 0.000 0.000 0.000 5.813" Properties=species:S:1:pos:R:3 comment="BaZrFeHg2 | the Alexandria database | PBE | optimized geometry" formation_enthalpy_0k_ev_per_atom=1.648 energy_ev_per_atom=-2.26 volume_a3_per_atom=32.39 magnetic_moment_mub_per_cell=0.77 pbc="T T T"
Fe 0.000 2.397 0.000
Hg 0.000 0.000 2.906
Hg 2.906 0.000 0.000
Zr 2.906 2.397 2.906
Ba 0.000 0.000 0.000


[2]
4
Lattice="-0.208 -1.011 -2.656 0.566 -2.365 1.486 -9.034 -1.388 1.235" Properties=species:S:1:pos:R:3 comment="BeCdAs2 | the Alexandria database | PBE | optimized geometry" formation_enthalpy_0k_ev_per_atom=0.388 energy_ev_per_atom=-3.10 volume_a3_per_atom=18.32 magnetic_moment_mub_per_cell=0.00 relative_energy_mev_per_atom=324 pbc="T T T"
Be -4.449 -0.683 0.608
As -8.827 -1.356 1.206
As -2.717 -2.133 -0.190
Cd -6.234 -2.673 0.291


[3]
9
Lattice="-3.083 -2.400 -3.654 1.711 -4.440 -2.445 -2.019 -2.694 3.476" Properties=species:S:1:pos:R:3 comment="PaHgPO6 | the Alexandria database | PBE | optimized geometry" raw_formation_energy_kj_per_mol_fu=-1731 energy_ev_per_atom=-6.99 volume_a3_per_atom=13.33 magnetic_moment_mub_per_cell=0.00 pbc="T T T"
Pa -1.924 -5.907 -2.327
Hg -3.391 -9.534 -2.622
P -1.467 -3.627 -0.295
O -0.199 -2.466 -0.029
O -2.373 -2.987 1.046
O -2.674 -4.849 -0.572
O -0.587 -4.690 0.764
O -0.633 -4.271 -1.680
O -2.334 -2.502 -1.298


[4]
8
Lattice="-0.426 -4.249 0.795 2.684 0.626 4.786 -4.796 0.961 2.564" Properties=species:S:1:pos:R:3 comment="AlZn2Cu5 | the Alexandria database | PBE | optimized geometry" formation_enthalpy_0k_ev_per_atom=0.481 energy_ev_per_atom=-2.87 volume_a3_per_atom=16.56 magnetic_moment_mub_per_cell=0.00 relative_energy_mev_per_atom=620 pbc="T T T"
Al 0.000 0.000 0.000
Zn 1.129 -1.811 2.790
Zn -2.611 -1.644 1.680
Cu -1.500 1.128 5.221
Cu -2.629 0.864 3.208
Cu 0.517 0.723 4.142
Cu -0.213 -2.124 0.398
Cu -0.612 0.460 2.129


[5]
5
Lattice="-4.826 -5.395 0.467 2.157 -1.341 6.795 -2.886 2.707 1.451" Properties=species:S:1:pos:R:3 comment="CsHgTe2N | the Alexandria database | PBE | optimized geometry" raw_formation_energy_kj_per_mol_fu=781 energy_ev_per_atom=-1.53 volume_a3_per_atom=44.36 magnetic_moment_mub_per_cell=2.29 relative_energy_mev_per_atom=962 pbc="T T T"
Cs 0.000 0.000 0.000
Te 1.078 -0.671 3.397
Te -2.413 -2.698 0.233
Hg -2.778 -2.015 4.356
N -1.443 1.354 0.725


[6]
10
Lattice="-0.282 -2.713 -1.944 3.311 0.023 -0.512 1.964 -9.022 12.304" Properties=species:S:1:pos:R:3 comment="Li4DyAu5 | the Alexandria database | PBE | optimized geometry" formation_enthalpy_0k_ev_per_atom=-0.595 energy_ev_per_atom=-3.46 volume_a3_per_atom=17.26 magnetic_moment_mub_per_cell=0.00 pbc="T T T"
Li 0.436 -2.001 2.729
Li 0.799 -3.672 5.008
Li 1.165 -5.350 7.296
Li 1.528 -7.020 9.575
Dy 0.000 0.000 0.000
Au 1.760 -2.472 0.308
Au 2.129 -4.169 2.624
Au 2.496 -5.856 4.924
Au 2.863 -7.543 7.224
Au 3.233 -9.240 9.540


[7]
10
Lattice="-5.434 2.041 0.813 -0.363 -3.483 6.317 5.075 5.430 -0.843" Properties=species:S:1:pos:R:3 comment="Pm2Ge2Mo | the Alexandria database | PBE | optimized geometry" formation_enthalpy_0k_ev_per_atom=-0.451 energy_ev_per_atom=-6.36 volume_a3_per_atom=24.80 magnetic_moment_mub_per_cell=0.00 pbc="T T T"
Pm -1.303 3.173 4.455
Pm 0.580 0.814 1.832
Pm -2.382 -0.511 6.491
Pm 1.659 4.498 -0.204
Ge 1.643 2.904 3.689
Ge -2.366 1.083 2.597
Ge 0.176 -1.619 5.240
Ge -0.899 5.606 1.047
Mo -4.257 -0.211 3.768
Mo -1.540 -1.231 3.362


[8]
4
Lattice="-2.919 4.860 3.290 -2.555 2.951 5.266 -0.478 4.656 4.589" Properties=species:S:1:pos:R:3 comment="HPtF2 | the Alexandria database | PBE | optimized geometry" energy_ev_per_atom=-3.96 volume_a3_per_atom=10.57 magnetic_moment_mub_per_cell=0.78 relative_energy_mev_per_atom=0 pbc="T T T"
H 0.000 0.000 0.000
Pt -2.976 6.234 6.572
F -5.594 11.718 12.355
F -0.358 0.749 0.790